KRe2 | PBE | relaxed

Geometry as POSCAR:
```
KRe2
1.0
-6.2100 2.1072 -3.7118
-4.6450 -1.4110 -5.7632
4.2226 -1.6340 6.0234
K Re
1 2
direct
0.0000 0.0000 0.0000
0.2938 0.2938 0.0000
0.7062 0.7062 0.0000
```

Space-group type: I4/mmm
Crystal system: tetragonal
DOS(E_F) (states/eV per atom): 1.13
Energy above the lowest structure with this stoichiometry (eV per atom): 0.307
E_form (eV/atom): 0.958
Electronic total energy (Ry per atom): -0.5664

LaY2NbI | PBE | relaxed

Geometry as POSCAR:
```
LaY2NbI
1.0
5.5080 0.0000 0.0000
0.0000 5.7675 0.0000
0.0000 0.0000 5.5080
I Y Nb La
1 2 1 1
direct
0.5000 0.5000 0.5000
0.0000 0.0000 0.5000
0.5000 0.0000 0.0000
0.0000 0.0000 0.0000
0.0000 0.5000 0.0000
```

Space-group type: P4/mmm
Crystal system: tetragonal
DOS(E_F) (states/eV per atom): 1.47
Formation energy from raw total energies (meV/atom): 288
Electronic total energy (Ry per atom): -0.4121